Entry 1:
# meta-GGA SCAN CeMgZn2, PBEsol geometry
data_CeMgZn2
_symmetry_space_group_name_H-M 'F m -3 m'
_symmetry_Int_Tables_number 225
_symmetry_space_group_name_Hall '-F 4 2 3'
_cell_length_a 6.822
_cell_length_b 6.822
_cell_length_c 6.822
_cell_angle_alpha 90.00
_cell_angle_beta 90.00
_cell_angle_gamma 90.00
loop_
_atom_site_label
_atom_site_fract_x
_atom_site_fract_y
_atom_site_fract_z
_atom_site_occupancy
Ce1 0.000 0.000 0.000 1
Mg1 0.000 0.000 0.500 1
Zn1 0.250 0.250 0.250 1
# V, Å³ per cell: 317
# Formation energy from the elements, meV/atom: -315.2
# VASP energy, eV/cell: -311.3

---

Entry 2:
# meta-GGA SCAN CaTlCd3, PBEsol geometry
data_CaTlCd3
_symmetry_space_group_name_H-M 'P m -3 m'
_symmetry_Int_Tables_number 221
_symmetry_space_group_name_Hall '-P 4 2 3'
_cell_length_a 5.430
_cell_length_b 5.430
_cell_length_c 5.430
_cell_angle_alpha 90.00
_cell_angle_beta 90.00
_cell_angle_gamma 90.00
loop_
_atom_site_label
_atom_site_fract_x
_atom_site_fract_y
_atom_site_fract_z
_atom_site_occupancy
Ca1 0.000 0.000 0.000 1
Tl1 0.500 0.500 0.500 1
Cd1 0.000 0.500 0.500 1
# V, Å³ per cell: 160
# Formation energy from the elements, meV/atom: 272.4
# VASP energy, eV/cell: -171.9

---

Entry 3:
# meta-GGA SCAN TiHgF3, PBEsol geometry
data_TiHgF3
_symmetry_space_group_name_H-M 'P m -3 m'
_symmetry_Int_Tables_number 221
_symmetry_space_group_name_Hall '-P 4 2 3'
_cell_length_a 4.495
_cell_length_b 4.495
_cell_length_c 4.495
_cell_angle_alpha 90.00
_cell_angle_beta 90.00
_cell_angle_gamma 90.00
loop_
_atom_site_label
_atom_site_fract_x
_atom_site_fract_y
_atom_site_fract_z
_atom_site_occupancy
Ti1 0.000 0.000 0.000 1
Hg1 0.500 0.500 0.500 1
F1 0.000 0.500 0.500 1
# Formation energy (no corrections), eV per atom: -1.042
# V, Å³ per cell: 91
# VASP energy, eV/cell: -100.0

---

Entry 4:
# meta-GGA SCAN Mg2ScCd, PBEsol geometry
data_Mg2ScCd
_symmetry_space_group_name_H-M 'P 4/m m m'
_symmetry_Int_Tables_number 123
_symmetry_space_group_name_Hall '-P 4 2'
_cell_length_a 3.186
_cell_length_b 3.186
_cell_length_c 8.523
_cell_angle_alpha 90.00
_cell_angle_beta 90.00
_cell_angle_gamma 90.00
loop_
_atom_site_label
_atom_site_fract_x
_atom_site_fract_y
_atom_site_fract_z
_atom_site_occupancy
Mg1 0.000 0.000 0.235 1
Sc1 0.500 0.500 0.500 1
Cd1 0.500 0.500 0.000 1
# V, Å³ per cell: 87
# Formation energy from the elements, meV/atom: -131.3
# VASP energy, eV/cell: -55.1

---

Entry 5:
# meta-GGA SCAN YZr3, PBEsol geometry
data_YZr3
_symmetry_space_group_name_H-M 'I m m 2'
_symmetry_Int_Tables_number 44
_symmetry_space_group_name_Hall 'I 2 -2'
_cell_length_a 3.254
_cell_length_b 10.379
_cell_length_c 5.670
_cell_angle_alpha 90.00
_cell_angle_beta 90.00
_cell_angle_gamma 90.00
loop_
_atom_site_label
_atom_site_fract_x
_atom_site_fract_y
_atom_site_fract_z
_atom_site_occupancy
Y1 0.000 0.000 0.000 1
Zr1 0.000 0.246 0.334 1
Zr2 0.000 0.500 0.004 1
# V, Å³ per cell: 191
# Formation energy from the elements, meV/atom: 91.9
# VASP energy, eV/cell: -239.1

---

Entry 6:
# meta-GGA SCAN Be2CoSi, PBEsol geometry
data_Be2CoSi
_symmetry_space_group_name_H-M 'I -4 m 2'
_symmetry_Int_Tables_number 119
_symmetry_space_group_name_Hall 'I -4 -2'
_cell_length_a 3.321
_cell_length_b 3.321
_cell_length_c 6.699
_cell_angle_alpha 90.00
_cell_angle_beta 90.00
_cell_angle_gamma 90.00
loop_
_atom_site_label
_atom_site_fract_x
_atom_site_fract_y
_atom_site_fract_z
_atom_site_occupancy
Be1 0.000 0.000 0.000 1
Be2 0.000 0.500 0.250 1
Co1 0.000 0.500 0.750 1
Si1 0.000 0.000 0.500 1
# Formation energy (no corrections), eV per atom: -0.278
# V, Å³ per cell: 74
# VASP energy, eV/cell: -74.3

---

Entry 7:
# meta-GGA SCAN ScBeP, PBEsol geometry
data_ScBeP
_symmetry_space_group_name_H-M 'P -6 m 2'
_symmetry_Int_Tables_number 187
_symmetry_space_group_name_Hall 'P -6 2'
_cell_length_a 3.5943
_cell_length_b 3.5943
_cell_length_c 3.5957
_cell_angle_alpha 90.00
_cell_angle_beta 90.00
_cell_angle_gamma 120.00
loop_
_atom_site_label
_atom_site_fract_x
_atom_site_fract_y
_atom_site_fract_z
_atom_site_occupancy
Sc1 0.0000 0.0000 0.0000 1
Be1 0.6667 0.3333 0.5000 1
P1 0.3333 0.6667 0.5000 1
# V, Å³ per cell: 40
# Formation energy from the elements, meV/atom: -1057.6
# VASP energy, eV/cell: -32.2

---

Entry 8:
# meta-GGA SCAN LiRe2Pt, PBEsol geometry
data_LiRe2Pt
_symmetry_space_group_name_H-M 'P 4/m m m'
_symmetry_Int_Tables_number 123
_symmetry_space_group_name_Hall '-P 4 2'
_cell_length_a 4.629
_cell_length_b 4.629
_cell_length_c 2.644
_cell_angle_alpha 90.00
_cell_angle_beta 90.00
_cell_angle_gamma 90.00
loop_
_atom_site_label
_atom_site_fract_x
_atom_site_fract_y
_atom_site_fract_z
_atom_site_occupancy
Li1 0.000 0.000 0.000 1
Re1 0.000 0.500 0.500 1
Pt1 0.500 0.500 0.000 1
# V, Å³ per cell: 57
# Formation energy from the elements, meV/atom: 478.2
# VASP energy, eV/cell: -212.9

---

Entry 9:
# meta-GGA SCAN ScAlSb2Te, PBEsol geometry
data_ScAlSb2Te
_symmetry_space_group_name_H-M 'P 4/m m m'
_symmetry_Int_Tables_number 123
_symmetry_space_group_name_Hall '-P 4 2'
_cell_length_a 5.406
_cell_length_b 5.406
_cell_length_c 5.405
_cell_angle_alpha 90.00
_cell_angle_beta 90.00
_cell_angle_gamma 90.00
loop_
_atom_site_label
_atom_site_fract_x
_atom_site_fract_y
_atom_site_fract_z
_atom_site_occupancy
Sc1 0.000 0.000 0.000 1
Al1 0.500 0.500 0.500 1
Sb1 0.000 0.500 0.000 1
Te1 0.000 0.000 0.500 1
# Formation energy (no corrections), eV per atom: 0.277
# V, Å³ per cell: 158
# VASP energy, eV/cell: -132.4

---

Entry 10:
# meta-GGA SCAN CdMo2Os, PBEsol geometry
data_CdMo2Os
_symmetry_space_group_name_H-M 'I m m 2'
_symmetry_Int_Tables_number 44
_symmetry_space_group_name_Hall 'I 2 -2'
_cell_length_a 3.041
_cell_length_b 4.610
_cell_length_c 9.088
_cell_angle_alpha 90.00
_cell_angle_beta 90.00
_cell_angle_gamma 90.00
loop_
_atom_site_label
_atom_site_fract_x
_atom_site_fract_y
_atom_site_fract_z
_atom_site_occupancy
Cd1 0.000 0.000 0.000 1
Mo1 0.000 0.000 0.503 1
Mo2 0.000 0.500 0.773 1
Os1 0.000 0.500 0.235 1
# V, Å³ per cell: 127
# Formation energy from the elements, meV/atom: 433.2
# VASP energy, eV/cell: -340.7

---

Entry 11:
# meta-GGA SCAN Mg2CN, PBEsol geometry
data_Mg2CN
_symmetry_space_group_name_H-M 'F m -3 m'
_symmetry_Int_Tables_number 225
_symmetry_space_group_name_Hall '-F 4 2 3'
_cell_length_a 5.495
_cell_length_b 5.495
_cell_length_c 5.495
_cell_angle_alpha 90.00
_cell_angle_beta 90.00
_cell_angle_gamma 90.00
loop_
_atom_site_label
_atom_site_fract_x
_atom_site_fract_y
_atom_site_fract_z
_atom_site_occupancy
Mg1 0.250 0.250 0.250 1
C1 0.000 0.000 0.000 1
N1 0.000 0.000 0.500 1
# Formation energy (no corrections), eV per atom: 0.730
# V, Å³ per cell: 166
# VASP energy, eV/cell: -105.7

---

Entry 12:
# meta-GGA SCAN FeHg2As, PBEsol geometry
data_FeHg2As
_symmetry_space_group_name_H-M 'P 4/m m m'
_symmetry_Int_Tables_number 123
_symmetry_space_group_name_Hall '-P 4 2'
_cell_length_a 5.128
_cell_length_b 5.128
_cell_length_c 2.842
_cell_angle_alpha 90.00
_cell_angle_beta 90.00
_cell_angle_gamma 90.00
loop_
_atom_site_label
_atom_site_fract_x
_atom_site_fract_y
_atom_site_fract_z
_atom_site_occupancy
Fe1 0.000 0.000 0.000 1
Hg1 0.000 0.500 0.500 1
As1 0.500 0.500 0.000 1
# V, Å³ per cell: 75
# Formation energy from the elements, meV/atom: 559.0
# VASP energy, eV/cell: -172.4

---

Entry 13:
# meta-GGA SCAN InAgCl, PBEsol geometry
data_InAgCl
_symmetry_space_group_name_H-M 'F -4 3 m'
_symmetry_Int_Tables_number 216
_symmetry_space_group_name_Hall 'F -4 2 3'
_cell_length_a 6.827
_cell_length_b 6.827
_cell_length_c 6.827
_cell_angle_alpha 90.00
_cell_angle_beta 90.00
_cell_angle_gamma 90.00
loop_
_atom_site_label
_atom_site_fract_x
_atom_site_fract_y
_atom_site_fract_z
_atom_site_occupancy
In1 0.000 0.000 0.000 1
Ag1 0.000 0.000 0.500 1
Cl1 0.250 0.250 0.750 1
# Formation energy (no corrections), eV per atom: 0.184
# V, Å³ per cell: 318
# VASP energy, eV/cell: -288.7

---

Entry 14:
# meta-GGA SCAN Li2SBr, PBEsol geometry
data_Li2SBr
_symmetry_space_group_name_H-M 'F m -3 m'
_symmetry_Int_Tables_number 225
_symmetry_space_group_name_Hall '-F 4 2 3'
_cell_length_a 6.508
_cell_length_b 6.508
_cell_length_c 6.508
_cell_angle_alpha 90.00
_cell_angle_beta 90.00
_cell_angle_gamma 90.00
loop_
_atom_site_label
_atom_site_fract_x
_atom_site_fract_y
_atom_site_fract_z
_atom_site_occupancy
Li1 0.250 0.250 0.250 1
S1 0.000 0.000 0.000 1
Br1 0.000 0.000 0.500 1
# Formation energy (no corrections), eV per atom: -0.876
# V, Å³ per cell: 276
# VASP energy, eV/cell: -149.5

---

Entry 15:
# meta-GGA SCAN CdMo2As, PBEsol geometry
data_CdMo2As
_symmetry_space_group_name_H-M 'F -4 3 m'
_symmetry_Int_Tables_number 216
_symmetry_space_group_name_Hall 'F -4 2 3'
_cell_length_a 6.409
_cell_length_b 6.409
_cell_length_c 6.409
_cell_angle_alpha 90.00
_cell_angle_beta 90.00
_cell_angle_gamma 90.00
loop_
_atom_site_label
_atom_site_fract_x
_atom_site_fract_y
_atom_site_fract_z
_atom_site_occupancy
Cd1 0.000 0.000 0.000 1
Mo1 0.000 0.000 0.500 1
Mo2 0.250 0.250 0.750 1
As1 0.250 0.250 0.250 1
# V, Å³ per cell: 263
# Formation energy from the elements, meV/atom: 580.3
# VASP energy, eV/cell: -472.2